[1]
Li2Mg: optimized geometry, PBEsol.

```
6
Lattice="5.4774 0.0000 0.0000 2.7387 4.7435 0.0000 2.7387 1.5812 4.4723" Properties=species:S:1:pos:R:3 pbc="T T T"
Mg 8.2161 4.7435 3.3542
Mg 5.4774 3.1624 2.2361
Li 2.7387 1.5812 2.7952
Li 2.7387 3.1624 0.5590
Li 1.3693 0.7906 0.5590
Li 4.1080 0.7906 0.5590
```

Calculated values
Its space group is Fd-3m (227). The value obtained for the calculated formation energy is -0.0002 eV per atom.

=====

[2]
TaCrCu2: optimized geometry, PBEsol.

```
4
Lattice="-1.5855 2.1440 3.2622 -3.5486 -1.3089 1.8565 0.1347 -1.6533 3.8730" Properties=species:S:1:pos:R:3 pbc="T T T"
Cr -2.4997 -0.4091 4.4958
Cu 0.0000 0.0000 0.0000
Cu -3.7495 -0.6137 6.7438
Ta -1.2498 -0.2046 2.2479
```

Calculated values
Its space group is F-43m (216). The value obtained for the calculated formation energy is 0.4138 eV per atom. The offset from the most stable computed form is 0.170 eV per atom.

=====

[3]
TaCrNi: optimized geometry, PBEsol.

```
3
Lattice="-3.8855 -0.7802 0.6940 -1.2076 -3.7826 0.6491 -1.2012 -1.1263 3.6710" Properties=species:S:1:pos:R:3 pbc="T T T"
Cr -3.1472 -2.8445 2.5070
Ni -1.5736 -1.4223 1.2535
Ta 0.0000 0.0000 0.0000
```

Calculated values
Its space group is F-43m (216). The value obtained for the calculated formation energy is 0.5487 eV per atom. The offset from the most stable computed form is 0.722 eV per atom.

=====

[4]
LiNiP2O7: optimized geometry, PBEsol.

```
11
Lattice="-3.6022 -1.5532 2.0016 1.0774 -4.0531 -2.9074 3.3081 -0.5169 3.8510" Properties=species:S:1:pos:R:3 pbc="T T T"
Ni 1.3517 -3.6182 -2.0764
Li 2.1775 -2.3091 0.4257
O 1.2744 -3.9737 -0.1927
O -1.5130 -1.9019 2.8262
O 0.8913 -5.0911 1.9555
O -0.3057 -1.3454 0.3909
O -1.3749 -3.5504 0.4603
O 0.8542 -2.3283 2.8741
O 2.9321 -3.2134 2.0452
P -0.2295 -1.2539 3.3659
P 2.2704 -2.8758 3.3894
```

Calculated values
Its formation energy without anion corrections is -1.862 eV per atom. Its space group is C2 (5). The offset from the most stable computed form is 0.005 eV per atom.

=====

[5]
LiCu4: optimized geometry, PBEsol.

```
5
Lattice="-2.5509 1.5675 1.9992 -0.6967 -1.9174 3.8559 1.4681 3.1290 2.6615" Properties=species:S:1:pos:R:3 pbc="T T T"
Cu -0.7868 2.4248 3.5780
Cu -1.2941 2.5981 6.0363
Cu -0.9928 0.3543 4.9386
Cu -0.4854 0.1810 2.4803
Li 0.0000 0.0000 0.0000
```

Calculated values
Its space group is I4/m (87). The value obtained for the calculated formation energy is -0.0115 eV per atom.

=====

[6]
Li3Hg5: optimized geometry, PBEsol.

```
16
Lattice="-3.6130 4.0796 -1.4522 -5.6578 -5.4498 -1.2338 0.8407 3.3020 7.1850" Properties=species:S:1:pos:R:3 pbc="T T T"
Hg -3.4917 -2.5325 1.5724
Hg -3.1320 2.4246 3.6526
Hg -1.3255 0.3847 4.3787
Hg -5.2981 -0.4927 0.8463
Hg -6.4096 1.4101 3.4817
Hg -2.0205 0.5218 1.0172
Hg -2.5147 3.8256 0.5773
Hg -4.0220 1.7957 -1.3753
Hg -5.2488 -3.1659 -1.3107
Hg -0.2576 3.5561 5.1555
Li -4.6370 2.2005 1.2918
Li -3.7932 -0.2686 3.2072
Li -2.2054 5.0407 3.2213
Li -6.1040 -0.2097 -1.8293
Li -3.1668 -1.1604 -0.8567
Li -0.5669 2.3410 2.5115
```

Calculated values
Its space group is P6_3/mcm (193). The value obtained for the calculated formation energy is -0.2702 eV per atom. The offset from the most stable computed form is 0.049 eV per atom.

=====

[7]
ZrRe2Rh: optimized geometry, PBEsol.

```
4
Lattice="-1.9259 -0.9955 1.7661 0.7854 -1.5077 2.2202 0.2380 6.8987 6.3617" Properties=species:S:1:pos:R:3 pbc="T T T"
Re 0.2253 6.7402 6.2585
Re -0.6764 3.3028 7.7650
Rh -0.4431 2.3002 5.2407
Zr -0.2216 1.1488 2.6195
```

Calculated values
Its space group is R3m (160). The value obtained for the calculated formation energy is 0.0622 eV per atom. The offset from the most stable computed form is 0.164 eV per atom.

=====

[8]
Li2Mn3F8: optimized geometry, PBEsol.

```
26
Lattice="-4.6060 1.5815 2.8899 -3.3847 -4.2607 -3.0630 2.1359 -6.8318 7.1429" Properties=species:S:1:pos:R:3 pbc="T T T"
Li -3.4302 -6.2314 6.0936
Li -1.9316 -3.7679 7.3758
Li -2.3307 -3.2931 0.7913
Li -0.6454 -1.4269 2.6981
Mn 0.1289 -4.4515 2.9069
Mn -1.5846 -6.6084 1.3563
Mn -3.0559 -4.6586 3.4922
Mn -0.0755 -6.0198 8.4571
Mn -5.3458 0.4436 2.0680
Mn -7.0170 -1.6601 0.5556
F -1.3456 -5.9011 3.3305
F 1.2681 -5.9280 6.8447
F -1.8553 -1.2641 1.0217
F -3.7581 -3.6593 -0.7001
F -1.6669 -3.2454 2.7761
F -3.1477 -5.1095 1.4360
F 1.0719 -4.2370 4.7093
F 0.0490 -8.0383 4.7624
F -3.6956 -0.9919 5.4637
F -5.7281 -1.5645 2.1410
F -1.9576 -5.8559 7.5242
F -3.8615 -8.2525 5.8013
F -2.8749 -4.3003 5.5806
F -4.3569 -6.1658 4.2395
F -4.7869 -3.5112 3.8090
F -3.4628 0.5865 3.0107
```

Calculated values
Its formation energy without anion corrections is -2.382 eV per atom. Its space group is Pmn2_1 (31). The offset from the most stable computed form is 0.067 eV per atom.

=====

[9]
MnMoSe2: optimized geometry, PBEsol.

```
4
Lattice="-2.8709 1.2526 -0.4797 -1.9579 0.4586 2.4490 1.5274 8.1752 1.7404" Properties=species:S:1:pos:R:3 pbc="T T T"
Mo -1.6507 4.9432 1.8549
Mn 0.0000 0.0000 0.0000
Se -3.9226 3.9081 2.2825
Se 0.6212 5.9784 1.4273
```

Calculated values
Its formation energy without anion corrections is 0.014 eV per atom. Its space group is R-3m (166). The offset from the most stable computed form is 0.274 eV per atom.

=====

[10]
HoAgTe2: optimized geometry, PBEsol.

```
4
Lattice="-0.7609 3.9231 -1.8789 0.7395 -3.5493 -2.5211 -6.9801 -1.3942 -0.0846" Properties=species:S:1:pos:R:3 pbc="T T T"
Te -1.9128 1.1023 -2.1130
Te -5.0900 -2.1230 -2.3716
Ho -0.0755 -0.0151 -0.0009
Ag -4.5813 0.5693 -2.1453
```

Calculated values
Its formation energy without anion corrections is -0.847 eV per atom. Its space group is P3m1 (156).

=====

[11]
TaBeAs2: optimized geometry, PBEsol.

```
4
Lattice="-0.7730 -3.0838 1.3243 3.2235 -0.1846 1.4518 -1.3418 3.7433 3.4552" Properties=species:S:1:pos:R:3 pbc="T T T"
Be -0.4322 -1.4837 0.7711
As -0.4916 0.5527 5.4783
As -1.0036 1.2784 2.3910
Ta 0.5349 -0.7549 3.0327
```

Calculated values
Its space group is Amm2 (38). The value obtained for the calculated formation energy is -0.3088 eV per atom.

=====

[12]
AlSi2Se: optimized geometry, PBEsol.

```
4
Lattice="3.1837 0.0000 0.0000 0.0000 4.1479 0.0000 -1.5918 -2.0740 5.1846" Properties=species:S:1:pos:R:3 pbc="T T T"
Si 0.0000 0.0000 0.4344
Si 1.5918 0.0000 2.3657
Al 0.0000 0.0000 4.7489
Se 0.0000 2.0740 2.8202
```

Calculated values
Its formation energy without anion corrections is 0.228 eV per atom. Its space group is Imm2 (44). The offset from the most stable computed form is 0.203 eV per atom.

=====

[13]
CaMgPt2: optimized geometry, PBEsol.

```
4
Lattice="3.0096 0.0000 0.0000 0.0000 4.8272 0.0000 0.0000 0.0000 4.8778" Properties=species:S:1:pos:R:3 pbc="T T T"
Ca 1.5048 0.0000 2.9132
Mg 1.5048 2.4136 0.7167
Pt 0.0000 0.0000 0.4630
Pt 0.0000 2.4136 3.2238
```

Calculated values
Its space group is Pmm2 (25). The value obtained for the calculated formation energy is -0.7073 eV per atom.

=====

[14]
AlZnTc2: optimized geometry, PBEsol.

```
4
Lattice="2.9892 0.0000 0.0000 0.0000 2.9892 0.0000 0.0000 0.0000 6.1696" Properties=species:S:1:pos:R:3 pbc="T T T"
Zn 0.0000 0.0000 3.0972
Tc 0.0000 0.0000 0.0203
Tc 1.4946 1.4946 1.4979
Al 1.4946 1.4946 4.6390
```

Calculated values
Its space group is P4mm (99). The value obtained for the calculated formation energy is -0.2101 eV per atom. The offset from the most stable computed form is 0.000 eV per atom.

=====

[15]
Tl2InGeO: optimized geometry, PBEsol.

```
5
Lattice="-0.1872 4.1613 -0.6955 -4.3191 -0.6766 -2.8859 -2.9550 0.5833 4.2859" Properties=species:S:1:pos:R:3 pbc="T T T"
Tl -1.4775 0.2917 2.1429
Tl -2.1596 -0.3383 -1.4429
Ge -3.7307 2.0340 0.3523
O 0.0000 0.0000 0.0000
In -0.0936 2.0807 -0.3477
```

Calculated values
Its formation energy without anion corrections is -0.036 eV per atom. Its space group is P4/mmm (123).

=====

[16]
Sr2TaAl: optimized geometry, PBEsol.

```
4
Lattice="5.2617 0.0000 0.0000 2.6309 4.5568 0.0000 2.6309 1.5189 4.2962" Properties=species:S:1:pos:R:3 pbc="T T T"
Sr 0.0000 0.0000 0.0000
Sr 2.6309 1.5189 1.0740
Al 5.2617 3.0379 2.1481
Ta 7.8926 4.5568 3.2221
```

Calculated values
Its space group is F-43m (216). The value obtained for the calculated formation energy is 0.7670 eV per atom.

=====

[17]
Cr2W: optimized geometry, PBEsol.

```
6
Lattice="-2.4579 1.3515 -0.9141 0.3452 -4.2273 -2.4176 -2.5364 -1.0843 5.2170" Properties=species:S:1:pos:R:3 pbc="T T T"
Cr -2.7493 -4.3409 0.9747
Cr -1.7481 -1.7750 2.0761
Cr -2.9010 -2.1851 -0.1908
Cr -1.8998 0.3807 0.9107
W -0.5241 -1.2693 -0.4674
W -4.1250 -2.6908 2.3528
```

Calculated values
Its space group is C2/m (12). The value obtained for the calculated formation energy is 0.0927 eV per atom. The offset from the most stable computed form is 0.031 eV per atom.

=====

[18]
CuRuSe2: optimized geometry, PBEsol.

```
4
Lattice="4.4358 0.0000 0.0000 2.2179 3.8415 0.0000 2.2179 1.2805 3.6218" Properties=species:S:1:pos:R:3 pbc="T T T"
Cu 4.4358 2.5610 1.8109
Ru 6.6537 3.8415 2.7164
Se 0.0000 0.0000 0.0000
Se 2.2179 1.2805 0.9055
```

Calculated values
Its formation energy without anion corrections is 0.710 eV per atom. Its space group is F-43m (216).

=====

[19]
Ba3ScS: optimized geometry, PBEsol.

```
5
Lattice="-2.5209 -3.6825 -4.0963 4.8322 -3.6408 0.2993 -2.6440 -3.1431 4.4526" Properties=species:S:1:pos:R:3 pbc="T T T"
Sc -0.1663 -5.2332 0.3278
S 0.0000 0.0000 0.0000
Ba 2.4161 -1.8204 0.1497
Ba -1.3220 -1.5715 2.2263
Ba -1.2604 -1.8412 -2.0482
```

Calculated values
Its formation energy without anion corrections is -0.451 eV per atom. Its space group is Pm-3m (221).

=====

[20]
CaCu2W: optimized geometry, PBEsol.

```
4
Lattice="2.6393 0.0000 0.0000 0.0000 4.8681 -0.0075 -1.3197 -1.3885 4.8246" Properties=species:S:1:pos:R:3 pbc="T T T"
Ca 0.0000 3.2069 2.5681
Cu 0.0000 4.6190 0.2636
Cu 1.3197 0.8248 2.1945
W 0.0000 0.7426 4.6044
```

Calculated values
Its space group is Cm (8). The value obtained for the calculated formation energy is 0.5055 eV per atom. The offset from the most stable computed form is 0.092 eV per atom.